SrAgPb2 (meta-GGA SCAN, PBEsol geometry); ΔE_f = -311 meV/atom; total energy = -1.897 hartree per atom; space group = Imm2
1.0
-0.920 4.389 1.654
-4.659 -1.136 0.422
3.557 -3.130 3.379
Pb Sr Ag
2 1 1
Cartesian
-1.945 -1.322 2.426
0.007 -0.013 0.038
0.764 -1.498 4.402
-0.082 1.453 3.006

ErAsPt (meta-GGA SCAN, PBEsol geometry); ΔE_f = -1407 meV/atom; total energy = -1.776 hartree per atom; space group = P6_3/mmc
1.0
4.233 0.000 0.000
-2.117 3.666 0.000
0.000 0.000 7.474
Er As Pt
2 2 2
Cartesian
0.000 0.000 0.000
0.000 0.000 3.737
0.000 2.444 1.869
2.117 1.222 5.606
2.117 1.222 1.869
0.000 2.444 5.606

LiLa2Tl (meta-GGA SCAN, PBEsol geometry); ΔE_f = -340 meV/atom; total energy = -1.491 hartree per atom; space group = Imm2
1.0
-3.792 -0.571 -0.095
0.177 -0.291 -5.306
2.601 -4.892 3.019
La Li Tl
2 1 1
Cartesian
-1.031 -5.639 -2.389
-1.476 -3.106 0.121
-1.757 -0.767 -2.680
0.429 -2.427 -2.516

Li2LaCd2 (meta-GGA SCAN, PBEsol geometry); ΔE_f = -282 meV/atom; total energy = -0.809 hartree per atom; polymorph energy (0 for the lowest one) = 0.0 meV/atom; space group = I4/mmm
1.0
-0.933 -1.554 -3.705
0.323 -3.821 1.521
-6.433 2.779 2.751
Li Cd La
2 2 1
Cartesian
-3.836 -0.731 -1.023
-3.208 -1.865 1.590
-1.800 -2.667 -0.724
-5.244 0.071 1.291
0.000 0.000 0.000

Si2TcHg (meta-GGA SCAN, PBEsol geometry); total energy = -1.117 hartree per atom; space group = I-42d; E_form (uncorrected) = 421 meV/atom
1.0
4.067 0.000 0.000
0.000 4.067 0.000
-2.034 -2.034 8.217
Hg Si Tc
2 4 2
Cartesian
0.000 0.000 0.000
0.000 2.034 4.109
1.017 0.773 6.163
2.807 1.017 2.054
-1.017 -0.773 6.163
1.261 3.050 2.054
2.034 2.034 0.000
2.034 0.000 4.109

In2Si2Sn (meta-GGA SCAN, PBEsol geometry); total energy = -0.884 hartree per atom; space group = I4/mmm; E_form (uncorrected) = 498 meV/atom
1.0
-4.273 -0.143 -0.344
0.371 -1.377 -4.045
1.986 -5.067 4.181
In Sn Si
2 1 2
Cartesian
-2.119 -2.985 0.821
0.203 -3.602 -1.029
0.000 0.000 0.000
0.029 -4.708 1.605
-1.944 -1.879 -1.813

Cd4Hg5 (meta-GGA SCAN, PBEsol geometry); ΔE_f = 32 meV/atom; total energy = -1.887 hartree per atom; polymorph energy (0 for the lowest one) = 10.5 meV/atom; space group = I4/mmm
1.0
-2.542 -3.667 -0.550
3.966 -5.646 0.938
-2.727 -1.788 6.153
Cd Hg
4 5
Cartesian
-0.481 -3.083 4.403
-0.030 -6.171 4.527
-1.273 -4.931 2.014
1.720 -4.352 2.688
-3.508 -3.637 3.715
-1.761 -1.818 1.888
0.492 -3.117 0.133
0.000 0.000 0.000
0.933 -6.197 0.255

LaCoBI2 (meta-GGA SCAN, PBEsol geometry); total energy = -1.000 hartree per atom; space group = P4/mmm; E_form (uncorrected) = 1040 meV/atom
1.0
-2.219 -1.101 4.105
5.455 -0.786 2.738
0.044 5.937 1.617
B Co I La
1 1 2 1
Cartesian
1.640 2.025 4.230
-1.110 -0.551 2.053
2.727 -0.393 1.369
0.022 2.969 0.808
0.000 0.000 0.000

La3NbCr (meta-GGA SCAN, PBEsol geometry); ΔE_f = 571 meV/atom; total energy = -1.308 hartree per atom; polymorph energy (0 for the lowest one) = 0.0 meV/atom; space group = Pm-3m
1.0
5.513 0.000 0.000
0.000 5.513 0.000
0.000 0.000 5.513
La Nb Cr
3 1 1
Cartesian
0.000 2.757 0.000
2.757 0.000 0.000
0.000 0.000 2.757
0.000 0.000 0.000
2.757 2.757 2.757

K2SrCa (meta-GGA SCAN, PBEsol geometry); ΔE_f = 89 meV/atom; total energy = -0.443 hartree per atom; space group = Cmm2
1.0
-3.687 -0.105 1.737
0.118 -2.416 -3.282
4.131 -10.813 8.109
K Ca Sr
2 1 1
Cartesian
0.070 -0.183 0.137
1.274 -9.269 5.233
-0.705 -4.086 1.347
1.988 -5.203 3.902

CaSnTe2I (meta-GGA SCAN, PBEsol geometry); total energy = -1.159 hartree per atom; space group = P4/mmm; E_form (uncorrected) = -165 meV/atom
1.0
5.721 0.000 0.000
0.000 5.755 0.000
0.000 0.000 5.755
Te Sn I Ca
2 1 1 1
Cartesian
0.000 0.000 2.878
0.000 2.878 0.000
2.861 2.878 2.878
2.861 0.000 0.000
0.000 0.000 0.000

Mg3TcRh (meta-GGA SCAN, PBEsol geometry); ΔE_f = 608 meV/atom; total energy = -0.593 hartree per atom; space group = Pm-3m
1.0
4.733 0.000 0.000
0.000 4.733 0.000
0.000 0.000 4.733
Mg Tc Rh
3 1 1
Cartesian
0.000 2.366 0.000
0.000 0.000 2.366
2.366 0.000 0.000
2.366 2.366 2.366
0.000 0.000 0.000

BaTiTe2 (meta-GGA SCAN, PBEsol geometry); total energy = -1.217 hartree per atom; space group = R-3m; E_form (uncorrected) = -592 meV/atom
1.0
5.046 0.000 0.000
2.523 4.370 0.000
2.523 1.457 8.823
Te Ti Ba
2 1 1
Cartesian
2.523 1.457 6.220
7.569 4.370 2.603
0.000 0.000 0.000
5.046 2.913 4.412

Li2PbCl (meta-GGA SCAN, PBEsol geometry); total energy = -0.839 hartree per atom; polymorph energy (0 for the lowest one) = 121.3 meV/atom; space group = C2/m; E_form (uncorrected) = -702 meV/atom
1.0
-2.721 0.344 1.942
0.242 -4.923 1.192
2.777 2.496 3.431
Pb Li Cl
1 2 1
Cartesian
0.149 -1.042 3.283
0.121 -2.461 0.596
1.389 1.248 1.716
-1.361 0.172 0.971